1.
Density functional theory data (PBE) for an optimized crystal structure of LaTi2Fe2.

Values from the calculation:
The calculated volume is 16.758 Å³/atom. The space group is P4/mbm (127). As for the formation energy from the elements: 0.108 eV/atom. The value obtained for the energy above the lowest structure with this stoichiometry is 166 meV per atom. As for the density of states at the Fermi level: 5.01 states/eV/f.u. For the total magnetic moment, the calculation gives 0.0000 μB per atom.

Geometry as POSCAR:
```
LaTi2Fe2
1.0
7.4681 0.0000 0.0000
0.0000 7.4681 0.0000
0.0000 0.0000 3.0047
La Ti Fe
2 4 4
direct
0.0000 0.0000 0.0000 La
0.5000 0.5000 0.0000 La
0.1362 0.3638 0.5000 Ti
0.3638 0.8638 0.5000 Ti
0.6362 0.1362 0.5000 Ti
0.8638 0.6362 0.5000 Ti
0.1402 0.6402 0.0000 Fe
0.3598 0.1402 0.0000 Fe
0.6402 0.8598 0.0000 Fe
0.8598 0.3598 0.0000 Fe
```

---

2.
Density functional theory data (PBE) for an optimized crystal structure of La2TiZnFe.

Values from the calculation:
The calculated volume is 24.904 Å³/atom. The space group is P4/mmm (123). As for the formation energy from the elements: 0.427 eV/atom. As for the density of states at the Fermi level: 8.59 states/eV/f.u. For the total magnetic moment, the calculation gives 0.0053 μB per atom.

Geometry as POSCAR:
```
La2TiZnFe
1.0
5.0943 0.0000 0.0000
0.0000 5.0943 0.0000
0.0000 0.0000 4.7982
La Ti Zn Fe
2 1 1 1
direct
0.0000 0.5000 0.0000 La
0.5000 0.0000 0.0000 La
0.0000 0.0000 0.5000 Ti
0.5000 0.5000 0.5000 Zn
0.5000 0.5000 0.0000 Fe
```

---

3.
Density functional theory data (PBE) for an optimized crystal structure of La6TlFe2.

Values from the calculation:
The calculated volume is 30.016 Å³/atom. The space group is Immm (71). As for the formation energy from the elements: -0.062 eV/atom. As for the density of states at the Fermi level: 10.35 states/eV/f.u. For the total magnetic moment, the calculation gives 0.1879 μB per atom.

Geometry as POSCAR:
```
La6TlFe2
1.0
-4.9359 5.2056 5.2568
4.9359 -5.2056 5.2568
4.9359 5.2056 -5.2568
La Tl Fe
12 2 4
direct
0.0036 0.7834 0.2202 La
0.1862 0.2947 0.4808 La
0.1862 0.7053 0.8915 La
0.3130 0.0149 0.7019 La
0.3130 0.6111 0.2981 La
0.4369 0.2166 0.2202 La
0.5631 0.7834 0.7798 La
0.6870 0.3889 0.7019 La
0.6870 0.9851 0.2981 La
0.8138 0.2947 0.1085 La
0.8138 0.7053 0.5192 La
0.9964 0.2166 0.7798 La
0.0000 0.0000 0.0000 Tl
0.5000 0.5000 0.0000 Tl
0.1062 0.6062 0.5000 Fe
0.3923 0.0000 0.3923 Fe
0.6077 0.0000 0.6077 Fe
0.8938 0.3938 0.5000 Fe
```

---

4.
Density functional theory data (PBE) for an optimized crystal structure of La2TlFe.

Values from the calculation:
The calculated volume is 27.457 Å³/atom. The space group is P4mm (99). As for the formation energy from the elements: 0.176 eV/atom. As for the density of states at the Fermi level: 6.44 states/eV/f.u. For the total magnetic moment, the calculation gives 0.5706 μB per atom.

Geometry as POSCAR:
```
La2TlFe
1.0
3.5415 0.0000 0.0000
0.0000 3.5415 0.0000
0.0000 0.0000 8.7569
La Tl Fe
2 1 1
direct
0.0000 0.0000 0.0000 La
0.5000 0.5000 0.3574 La
0.0000 0.0000 0.6230 Tl
0.5000 0.5000 0.7890 Fe
```

---

5.
Density functional theory data (PBE) for an optimized crystal structure of La2TlFe.

Values from the calculation:
The calculated volume is 24.729 Å³/atom. The space group is F-43m (216). As for the formation energy from the elements: 0.161 eV/atom. As for the density of states at the Fermi level: 5.70 states/eV/f.u. For the total magnetic moment, the calculation gives 0.2490 μB per atom.

Geometry as POSCAR:
```
La2TlFe
1.0
0.0000 3.6707 3.6707
3.6707 0.0000 3.6707
3.6707 3.6707 0.0000
La Tl Fe
2 1 1
direct
0.0000 0.0000 0.0000 La
0.2500 0.2500 0.2500 La
0.5000 0.5000 0.5000 Tl
0.7500 0.7500 0.7500 Fe
```

---

6.
Density functional theory data (PBE) for an optimized crystal structure of LaTl2Fe.

Values from the calculation:
The calculated volume is 26.742 Å³/atom. The space group is R3m (160). As for the formation energy from the elements: 0.152 eV/atom. As for the density of states at the Fermi level: 6.26 states/eV/f.u. For the total magnetic moment, the calculation gives 0.5783 μB per atom.

Geometry as POSCAR:
```
LaTl2Fe
1.0
2.3458 1.3544 5.6114
-2.3458 1.3544 5.6114
0.0000 -2.7087 5.6114
La Tl Fe
1 2 1
direct
0.0000 0.0000 0.0000 La
0.5516 0.5516 0.5516 Tl
0.7824 0.7824 0.7824 Tl
0.1887 0.1887 0.1887 Fe
```

---

7.
Density functional theory data (PBE) for an optimized crystal structure of La2TlFe.

Values from the calculation:
The calculated volume is 27.087 Å³/atom. The space group is P4/mmm (123). As for the formation energy from the elements: -0.041 eV/atom. As for the density of states at the Fermi level: 5.17 states/eV/f.u. For the total magnetic moment, the calculation gives 0.2711 μB per atom.

Geometry as POSCAR:
```
La2TlFe
1.0
3.5466 0.0000 0.0000
0.0000 3.5466 0.0000
0.0000 0.0000 8.6139
La Tl Fe
2 1 1
direct
0.0000 0.0000 0.2007 La
0.0000 0.0000 0.7993 La
0.5000 0.5000 0.5000 Tl
0.5000 0.5000 0.0000 Fe
```

---

8.
Density functional theory data (PBE) for an optimized crystal structure of LaTl2Fe.

Values from the calculation:
The calculated volume is 25.738 Å³/atom. The space group is Imm2 (44). As for the formation energy from the elements: 0.178 eV/atom. As for the density of states at the Fermi level: 3.90 states/eV/f.u. For the total magnetic moment, the calculation gives 0.5554 μB per atom.

Geometry as POSCAR:
```
LaTl2Fe
1.0
-1.7076 2.3778 6.3387
1.7076 -2.3778 6.3387
1.7076 2.3778 -6.3387
La Tl Fe
1 2 1
direct
0.0000 0.0000 0.0000 La
0.3089 0.8089 0.5000 Tl
0.6321 0.6321 0.0000 Tl
0.8057 0.3057 0.5000 Fe
```